Record 1
A geometry-optimized TbGaFeNi structure, computed with PBE.

```
TbGaFeNi
1.0
4.985 0.000 0.000
0.000 4.014 0.000
0.000 0.000 6.631
Tb Ga Fe Ni
2 2 2 2
direct
0.250 0.000 0.189
0.750 0.000 0.811
0.250 0.500 0.833
0.750 0.500 0.167
0.250 0.000 0.607
0.750 0.000 0.393
0.000 0.500 0.500
0.500 0.500 0.500
```

Computed properties:
space-group type: Pmma (51)
energy above the most stable polymorph in this dataset: 75 meV/atom



Record 2
A geometry-optimized ZnGaFeNi structure, computed with PBE.

```
ZnGaFeNi
1.0
0.000 2.884 2.884
2.884 0.000 2.884
2.884 2.884 0.000
Zn Ga Fe Ni
1 1 1 1
direct
0.000 0.000 0.000
0.500 0.500 0.500
0.750 0.750 0.750
0.250 0.250 0.250
```

Computed properties:
space-group type: F-43m (216)
energy above the most stable polymorph in this dataset: 0 meV/atom



Record 3
A geometry-optimized ZnGaFeNi structure, computed with PBE.

```
ZnGaFeNi
1.0
0.000 2.938 2.938
2.938 0.000 2.938
2.938 2.938 0.000
Zn Ga Fe Ni
1 1 1 1
direct
0.000 0.000 0.000
0.250 0.250 0.250
0.750 0.750 0.750
0.500 0.500 0.500
```

Computed properties:
space-group type: F-43m (216)
energy above the most stable polymorph in this dataset: 101 meV/atom



Record 4
A geometry-optimized NpGaFe structure, computed with PBE.

```
NpGaFe
1.0
0.000 2.996 2.996
2.996 0.000 2.996
2.996 2.996 0.000
Np Ga Fe
1 1 1
direct
0.000 0.000 0.000
0.500 0.500 0.500
0.250 0.250 0.250
```

Computed properties:
space-group type: F-43m (216)



Record 5
A geometry-optimized GaFeOs structure, computed with PBE.

```
GaFeOs
1.0
0.000 2.899 2.899
2.899 0.000 2.899
2.899 2.899 0.000
Ga Fe Os
1 1 1
direct
0.000 0.000 0.000
0.500 0.500 0.500
0.750 0.750 0.750
```

Computed properties:
space-group type: F-43m (216)



Record 6
A geometry-optimized GaFe2Os structure, computed with PBE.

```
GaFe2Os
1.0
0.000 2.958 2.958
2.958 0.000 2.958
2.958 2.958 0.000
Ga Fe Os
1 2 1
direct
0.000 0.000 0.000
0.500 0.500 0.500
0.750 0.750 0.750
0.250 0.250 0.250
```

Computed properties:
space-group type: F-43m (216)



Record 7
A geometry-optimized GaFeOsPd structure, computed with PBE.

```
GaFeOsPd
1.0
0.000 3.050 3.050
3.050 0.000 3.050
3.050 3.050 0.000
Ga Fe Os Pd
1 1 1 1
direct
0.000 0.000 0.000
0.250 0.250 0.250
0.500 0.500 0.500
0.750 0.750 0.750
```

Computed properties:
space-group type: F-43m (216)
energy above the most stable polymorph in this dataset: 0 meV/atom



Record 8
A geometry-optimized GaFeOsPt structure, computed with PBE.

```
GaFeOsPt
1.0
0.000 3.053 3.053
3.053 0.000 3.053
3.053 3.053 0.000
Ga Fe Os Pt
1 1 1 1
direct
0.000 0.000 0.000
0.250 0.250 0.250
0.750 0.750 0.750
0.500 0.500 0.500
```

Computed properties:
space-group type: F-43m (216)
energy above the most stable polymorph in this dataset: 0 meV/atom



Record 9
A geometry-optimized GaFeReOs structure, computed with PBE.

```
GaFeReOs
1.0
0.000 3.025 3.025
3.025 0.000 3.025
3.025 3.025 0.000
Ga Fe Re Os
1 1 1 1
direct
0.000 0.000 0.000
0.250 0.250 0.250
0.500 0.500 0.500
0.750 0.750 0.750
```

Computed properties:
space-group type: F-43m (216)
energy above the most stable polymorph in this dataset: 0 meV/atom



Record 10
A geometry-optimized ZnGaFeOs structure, computed with PBE.

```
ZnGaFeOs
1.0
0.000 3.005 3.005
3.005 0.000 3.005
3.005 3.005 0.000
Zn Ga Fe Os
1 1 1 1
direct
0.000 0.000 0.000
0.250 0.250 0.250
0.500 0.500 0.500
0.750 0.750 0.750
```

Computed properties:
space-group type: F-43m (216)
energy above the most stable polymorph in this dataset: 63 meV/atom



Record 11
A geometry-optimized ZnGaFeOs structure, computed with PBE.

```
ZnGaFeOs
1.0
0.000 2.991 2.991
2.991 0.000 2.991
2.991 2.991 0.000
Zn Ga Fe Os
1 1 1 1
direct
0.000 0.000 0.000
0.500 0.500 0.500
0.750 0.750 0.750
0.250 0.250 0.250
```

Computed properties:
space-group type: F-43m (216)
energy above the most stable polymorph in this dataset: 0 meV/atom



Record 12
A geometry-optimized Ga2FePb structure, computed with PBE.

```
Ga2FePb
1.0
0.000 3.411 3.411
3.411 0.000 3.411
3.411 3.411 0.000
Ga Fe Pb
2 1 1
direct
0.000 0.000 0.000
0.250 0.250 0.250
0.750 0.750 0.750
0.500 0.500 0.500
```

Computed properties:
space-group type: F-43m (216)



Total DFT energy (no corrections) across the listed records, respectively: -5.73; -4.67; -4.57; -7.95; -7.09; -7.69; -6.73; -7.00; -8.59; -5.77; -5.83; -4.06 eV per atom.